(1)
This record from Alexandria describes Pm5SmDy after structural relaxation. The functional is GGA-PBE.

Cell: 8.011 8.011 8.011 Å, 136.93 113.85 82.25°
Fractional positions:
1 Pm 0.000 0.000 0.000
2 Pm 0.248 0.748 0.500
3 Pm 0.323 0.500 0.823
4 Pm 0.677 0.500 0.177
5 Pm 0.752 0.252 0.500
6 Sm 0.000 0.500 0.500
7 Dy 0.500 0.000 0.500

Computed properties:
- DFT formation energy: 0.99 eV/atom
- Total magnetization: 0.0 μB/f.u.
- Calculated volume: 44.330 Å³/atom
- Theoretical density: 5.6 Mg/m³

=====

(2)
This record from Alexandria describes Pm12SmDy7 after structural relaxation. The functional is GGA-PBE.

Cell: 11.524 11.524 11.524 Å, 116.86 116.86 116.86°
Fractional positions:
1 Pm 0.000 0.413 0.587
2 Pm 0.000 0.587 0.413
3 Pm 0.085 0.085 0.440
4 Pm 0.085 0.440 0.085
5 Pm 0.413 0.000 0.587
6 Pm 0.413 0.587 0.000
7 Pm 0.440 0.085 0.085
8 Pm 0.560 0.915 0.915
9 Pm 0.587 0.000 0.413
10 Pm 0.587 0.413 0.000
11 Pm 0.915 0.560 0.915
12 Pm 0.915 0.915 0.560
13 Sm 0.500 0.500 0.500
14 Dy 0.000 0.000 0.000
15 Dy 0.127 0.372 0.372
16 Dy 0.372 0.127 0.372
17 Dy 0.372 0.372 0.127
18 Dy 0.628 0.628 0.873
19 Dy 0.628 0.873 0.628
20 Dy 0.873 0.628 0.628

Computed properties:
- DFT formation energy: 0.25 eV/atom
- Total magnetization: 0.0 μB/f.u.
- Calculated volume: 34.468 Å³/atom
- Theoretical density: 7.3 Mg/m³

=====

(3)
This record from Alexandria describes Pm3Sm2Dy5 after structural relaxation. The functional is GGA-PBE.

Cell: 9.701 9.701 9.386 Å, 108.39 108.39 112.90°
Fractional positions:
1 Pm 0.019 0.981 0.750
2 Pm 0.222 0.472 0.452
3 Pm 0.472 0.222 0.952
4 Pm 0.528 0.778 0.048
5 Pm 0.778 0.528 0.548
6 Pm 0.981 0.019 0.250
7 Sm 0.014 0.273 0.045
8 Sm 0.273 0.014 0.545
9 Sm 0.727 0.986 0.455
10 Sm 0.986 0.727 0.955
11 Dy 0.130 0.392 0.770
12 Dy 0.226 0.774 0.750
13 Dy 0.278 0.722 0.250
14 Dy 0.392 0.130 0.270
15 Dy 0.476 0.524 0.250
16 Dy 0.524 0.476 0.750
17 Dy 0.608 0.870 0.730
18 Dy 0.722 0.278 0.750
19 Dy 0.774 0.226 0.250
20 Dy 0.870 0.608 0.230

Computed properties:
- DFT formation energy: 0.19 eV/atom
- Total magnetization: 0.0 μB/f.u.
- Calculated volume: 33.401 Å³/atom
- Theoretical density: 7.7 Mg/m³